This record from Alexandria via LeMat-Bulk describes CaCoHg at its PBEsol-relaxed geometry. The functional is SCAN.

Lattice parameters (Å, degrees): 3.3559 3.3559 6.3390 90.00 90.00 120.00
With the nearest neighbours (Å) after each atom.
Fractional coordinates of all 3 atoms:
Ca1 0.0000 0.0000 0.9744  3 Co 2.80
Co1 0.3333 0.6667 0.6556  3 Hg 2.65, 3 Ca 2.80
Hg1 0.6667 0.3333 0.3700  3 Co 2.65

Calculated values
spin magnetization = 1.6 μB per formula unit
calculated volume = 61.8 Å³ per cell
ρ = 8.0 g/cm³
ΔH_f (0 K) = 0.2963 eV per atom
density of states at the Fermi level = 1.19 states/eV/cell